No. 1
Na2ScF4: optimized geometry, GGA-PBE.

Size of the total moment in μB per cell: 0.05
Energy above the most stable polymorph in this dataset in eV per atom: 0.0000
Calculated volume in A^3/atom: 14.24
VASP energy in eV per atom: -5.31

a b c (Å): 12.2511 3.0737 6.0388
angles (deg): 90.00 118.77 90.00
Last column: nearest neighbours and their distance in Å.
Space group C2/m (No. 12)
Asymmetric unit:
1 Na 0.2001 0.0000 0.2039 x4  5 F 2.23-2.49
2 Sc 0.0000 0.5000 0.5000 x2  6 F 2.05-2.28
3 F 0.1192 0.5000 0.3517 x4  1 Sc 2.05, 2 Na 2.23
4 F 0.1349 0.0000 0.7748 x4  2 Sc 2.28, 3 Na 2.31-2.49



No. 2
Na2ScF5: optimized geometry, GGA-PBE.

Size of the total moment in μB per cell: 0.00
Calculated volume in A^3/atom: 16.26
VASP energy in eV per atom: -5.68

a b c (Å): 4.1038 11.4382 11.0850
angles (deg): 90.00 90.00 90.00
Last column: nearest neighbours and their distance in Å.
Space group Cmcm (No. 63)
Asymmetric unit:
1 Na 0.0000 0.1387 0.0604 x8  4 F 2.23-2.30
2 Sc 0.0000 0.1698 0.7500 x4  6 F 1.99-2.08
3 F 0.0000 0.0462 0.6241 x8  1 Sc 1.99
4 F 0.0000 0.2855 0.6073 x8  1 Sc 2.06, 2 Na 2.29
5 F 0.0000 0.3021 0.2500 x4  2 Sc 2.08